! TbPmW2N6 (PBE, optimized geometry); values from VASP
&SYSTEM
  ibrav = 0, nat = 20, ntyp = 4
/
ATOMIC_SPECIES
Tb 158.93 Tb.upf
Pm 145.00 Pm.upf
W 183.84 W.upf
N 14.01 N.upf
ATOMIC_POSITIONS crystal
Tb 0.0887 0.9113 0.7500
Tb 0.9113 0.0887 0.2500
Pm 0.3024 0.6976 0.2500
Pm 0.6976 0.3024 0.7500
W 0.1992 0.3811 0.7534
W 0.3811 0.1992 0.2534
W 0.6189 0.8008 0.7466
W 0.8008 0.6189 0.2466
N 0.0020 0.2187 0.6484
N 0.1086 0.6214 0.8432
N 0.2187 0.0020 0.1484
N 0.3463 0.3665 0.5298
N 0.3665 0.3463 0.0298
N 0.3786 0.8914 0.6568
N 0.6214 0.1086 0.3432
N 0.6335 0.6537 0.9702
N 0.6537 0.6335 0.4702
N 0.7813 0.9980 0.8516
N 0.8914 0.3786 0.1568
N 0.9980 0.7813 0.3516
CELL_PARAMETERS angstrom
5.4862 -4.8420 0.0000
5.4862 4.8420 0.0000
-2.1070 0.0000 5.8967
! - Total DFT energy (no corrections): -9.52 eV/atom


! ZrZnSi3 (PBE, optimized geometry); values from VASP
&SYSTEM
  ibrav = 0, nat = 5, ntyp = 3
/
ATOMIC_SPECIES
Zr 91.22 Zr.upf
Zn 65.41 Zn.upf
Si 28.09 Si.upf
ATOMIC_POSITIONS crystal
Zr 0.0000 0.0000 0.0000
Zn 0.5000 0.5000 0.5000
Si 0.0000 0.0000 0.5000
Si 0.0000 0.5000 0.0000
Si 0.5000 0.0000 0.0000
CELL_PARAMETERS angstrom
5.1114 0.0000 0.0000
0.0000 5.1114 0.0000
0.0000 0.0000 5.1114
! - Total DFT energy (no corrections): -4.34 eV/atom


| no. | formation energy without anion corrections (eV per atom) |
| --- | --- |
| 1 | -0.9983 |
| 2 | 0.8819 |